[1]
{
  "formula": "Dy4RhSe2Br",
  "functional": "PBE-GGA",
  "state": "relaxed",
  "dft_energy_ev_per_atom": -5.62,
  "sg": "P2/m, No. 10",
  "lattice_angstrom": [[3.974, 0.000, 0.000], [0.000, 7.231, -0.241], [0.000, 2.456, 6.822]],
  "species": ["Dy", "Dy", "Dy", "Dy", "Rh", "Se", "Se", "Br"],
  "fractional_positions": [[0.000, 0.757, 0.724], [0.000, 0.243, 0.276], [0.500, 0.728, 0.283], [0.500, 0.272, 0.717], [0.000, 0.500, 0.500], [0.000, 0.000, 0.000], [0.500, 0.000, 0.500], [0.500, 0.500, 0.000]]
}

[2]
{
  "formula": "In3TcAs",
  "functional": "PBE-GGA",
  "state": "relaxed",
  "de_polymorph_ev_per_atom": 0.4958,
  "delta_e_f_ev_per_fu": 5.65,
  "sg": "Pm-3m, No. 221",
  "lattice_angstrom": [[5.303, 0.000, 0.000], [0.000, 5.303, 0.000], [0.000, 0.000, 5.303]],
  "species": ["As", "Tc", "In", "In", "In"],
  "fractional_positions": [[0.000, 0.000, 0.000], [0.500, 0.500, 0.500], [0.000, 0.500, 0.000], [0.000, 0.000, 0.500], [0.500, 0.000, 0.000]]
}

[3]
{
  "formula": "Sb3PIr",
  "functional": "PBE-GGA",
  "state": "relaxed",
  "de_polymorph_ev_per_atom": 0.3610,
  "sg": "Pm-3m, No. 221",
  "lattice_angstrom": [[4.965, 0.000, 0.000], [0.000, 4.965, 0.000], [0.000, 0.000, 4.965]],
  "species": ["Sb", "Sb", "Sb", "Ir", "P"],
  "fractional_positions": [[0.000, 0.500, 0.000], [0.000, 0.000, 0.500], [0.500, 0.000, 0.000], [0.500, 0.500, 0.500], [0.000, 0.000, 0.000]]
}

[4]
{
  "formula": "Tb8NdTm5",
  "functional": "PBE-GGA",
  "state": "relaxed",
  "delta_e_f_ev_per_fu": 3.48,
  "sg": "I-4, No. 82",
  "lattice_angstrom": [[-5.705, 5.858, -1.987], [6.004, -0.591, -5.867], [-4.340, -7.173, 0.723]],
  "species": ["Tb", "Tb", "Tb", "Tb", "Tb", "Tb", "Tb", "Tb", "Nd", "Tm", "Tm", "Tm", "Tm", "Tm"],
  "fractional_positions": [[0.163, 0.738, 0.080], [0.920, 0.084, 0.658], [0.722, 0.254, 0.328], [0.672, 0.394, 0.926], [0.532, 0.606, 0.278], [0.575, 0.916, 0.837], [0.342, 0.262, 0.425], [0.074, 0.746, 0.468], [0.250, 0.500, 0.750], [0.040, 0.320, 0.135], [0.865, 0.906, 0.185], [0.815, 0.680, 0.720], [0.500, 0.000, 0.500], [0.280, 0.094, 0.960]]
}

[5]
{
  "formula": "Ba2PmEu",
  "functional": "PBE-GGA",
  "state": "relaxed",
  "de_polymorph_ev_per_atom": 0.0082,
  "delta_e_f_ev_per_fu": 0.76,
  "sg": "P4/mmm, No. 123",
  "lattice_angstrom": [[4.532, 0.000, 0.000], [0.000, 6.534, 0.000], [0.000, 0.000, 6.534]],
  "species": ["Eu", "Ba", "Ba", "Pm"],
  "fractional_positions": [[0.500, 0.000, 0.000], [0.000, 0.000, 0.500], [0.000, 0.500, 0.000], [0.500, 0.500, 0.500]]
}

[6]
{
  "formula": "HfPaS6",
  "functional": "PBE-GGA",
  "state": "relaxed",
  "dft_energy_ev_per_atom": -6.53,
  "sg": "P-1, No. 2",
  "lattice_angstrom": [[-2.748, 0.170, -3.858], [-2.821, -5.126, 0.414], [-5.528, 1.294, 3.570]],
  "species": ["Hf", "Pa", "S", "S", "S", "S", "S", "S"],
  "fractional_positions": [[0.000, 0.000, 0.000], [0.500, 0.500, 0.500], [0.011, 0.398, 0.740], [0.631, 0.019, 0.737], [0.645, 0.240, 0.209], [0.369, 0.981, 0.263], [0.989, 0.602, 0.260], [0.355, 0.760, 0.791]]
}

[7]
{
  "formula": "AlGe2W",
  "functional": "PBE-GGA",
  "state": "relaxed",
  "delta_e_f_ev_per_fu": 1.14,
  "sg": "R-3m, No. 166",
  "lattice_angstrom": [[3.196, 0.000, 0.000], [1.598, 2.768, 0.000], [1.598, 0.923, 7.688]],
  "species": ["Ge", "Ge", "Al", "W"],
  "fractional_positions": [[0.248, 0.248, 0.257], [0.752, 0.752, 0.743], [0.000, 0.000, 0.000], [0.500, 0.500, 0.500]]
}

[8]
{
  "formula": "Ba2SrLa",
  "functional": "PBE-GGA",
  "state": "relaxed",
  "de_polymorph_ev_per_atom": 0.0419,
  "delta_e_f_ev_per_fu": 0.63,
  "sg": "Pmmm, No. 47",
  "lattice_angstrom": [[-2.739, -2.813, 2.466], [4.255, -5.071, -1.057], [3.319, 1.629, 5.546]],
  "species": ["Ba", "Ba", "La", "Sr"],
  "fractional_positions": [[0.000, 0.000, 0.000], [0.500, 0.500, 0.000], [0.500, 0.000, 0.500], [0.000, 0.500, 0.500]]
}

[9]
{
  "formula": "NiSbRh4",
  "functional": "PBE-GGA",
  "state": "relaxed",
  "dft_energy_ev_per_atom": -6.21,
  "sg": "F-43m, No. 216",
  "lattice_angstrom": [[0.000, 3.649, 3.649], [3.649, 0.000, 3.649], [3.649, 3.649, 0.000]],
  "species": ["Ni", "Sb", "Rh", "Rh", "Rh", "Rh"],
  "fractional_positions": [[0.000, 0.000, 0.000], [0.750, 0.750, 0.750], [0.876, 0.375, 0.375], [0.375, 0.375, 0.876], [0.375, 0.876, 0.375], [0.375, 0.375, 0.375]]
}

[10]
{
  "formula": "AlOs2Au",
  "functional": "PBE-GGA",
  "state": "relaxed",
  "delta_e_f_ev_per_fu": 1.55,
  "sg": "F-43m, No. 216",
  "lattice_angstrom": [[4.425, 0.000, 0.000], [2.212, 3.832, 0.000], [2.212, 1.277, 3.613]],
  "species": ["Os", "Os", "Au", "Al"],
  "fractional_positions": [[0.000, 0.000, 0.000], [0.250, 0.250, 0.250], [0.750, 0.750, 0.750], [0.500, 0.500, 0.500]]
}

[11]
{
  "formula": "Zr10C9",
  "functional": "PBE-GGA",
  "state": "relaxed",
  "delta_e_f_ev_per_fu": -15.25,
  "sg": "C2/c, No. 15",
  "lattice_angstrom": [[8.839, -0.001, 0.006], [6.300, 6.199, 0.006], [5.043, 2.065, 9.659]],
  "species": ["Zr", "Zr", "Zr", "Zr", "Zr", "Zr", "Zr", "Zr", "Zr", "Zr", "Zr", "Zr", "Zr", "Zr", "Zr", "Zr", "Zr", "Zr", "Zr", "Zr", "C", "C", "C", "C", "C", "C", "C", "C", "C", "C", "C", "C", "C", "C", "C", "C", "C", "C"],
  "fractional_positions": [[0.223, 0.479, 0.947], [0.721, 0.967, 0.956], [0.563, 0.331, 0.649], [0.437, 0.669, 0.351], [0.279, 0.033, 0.044], [0.082, 0.814, 0.645], [0.123, 0.373, 0.750], [0.918, 0.186, 0.355], [0.967, 0.721, 0.456], [0.777, 0.521, 0.053], [0.627, 0.877, 0.750], [0.814, 0.082, 0.145], [0.479, 0.223, 0.447], [0.669, 0.437, 0.851], [0.521, 0.777, 0.553], [0.331, 0.563, 0.149], [0.373, 0.123, 0.250], [0.186, 0.918, 0.855], [0.033, 0.279, 0.544], [0.877, 0.627, 0.250], [0.076, 0.321, 0.150], [0.924, 0.679, 0.850], [0.575, 0.828, 0.148], [0.776, 0.025, 0.550], [0.425, 0.172, 0.852], [0.624, 0.376, 0.250], [0.276, 0.528, 0.551], [0.472, 0.724, 0.949], [0.321, 0.076, 0.650], [0.172, 0.425, 0.352], [0.975, 0.224, 0.950], [0.828, 0.575, 0.648], [0.025, 0.776, 0.050], [0.679, 0.924, 0.350], [0.724, 0.472, 0.449], [0.528, 0.276, 0.051], [0.376, 0.624, 0.750], [0.224, 0.975, 0.450]]
}

[12]
{
  "formula": "La2SiAs",
  "functional": "PBE-GGA",
  "state": "relaxed",
  "de_polymorph_ev_per_atom": 0.1600,
  "sg": "P4/mmm, No. 123",
  "lattice_angstrom": [[-4.152, -4.424, -1.206], [0.474, -1.553, 4.066], [-3.209, 2.636, 1.381]],
  "species": ["As", "La", "La", "Si"],
  "fractional_positions": [[0.500, 0.875, 0.875], [0.000, 0.875, 0.875], [0.500, 0.375, 0.375], [0.000, 0.375, 0.375]]
}

[13]
{
  "formula": "PdRhPb3",
  "functional": "PBE-GGA",
  "state": "relaxed",
  "de_polymorph_ev_per_atom": 0.0345,
  "delta_e_f_ev_per_fu": -0.31,
  "sg": "C2/c, No. 15",
  "lattice_angstrom": [[-1.005, -5.347, -1.388], [5.575, 2.321, -7.128], [6.947, -1.369, 6.094]],
  "species": ["Pd", "Pd", "Pd", "Pd", "Rh", "Rh", "Rh", "Rh", "Pb", "Pb", "Pb", "Pb", "Pb", "Pb", "Pb", "Pb", "Pb", "Pb", "Pb", "Pb"],
  "fractional_positions": [[0.941, 0.454, 0.256], [0.559, 0.744, 0.546], [0.059, 0.546, 0.744], [0.441, 0.256, 0.454], [0.250, 0.075, 0.925], [0.750, 0.925, 0.075], [0.250, 0.753, 0.247], [0.750, 0.247, 0.753], [0.708, 0.217, 0.054], [0.792, 0.946, 0.783], [0.292, 0.783, 0.946], [0.208, 0.054, 0.217], [0.801, 0.634, 0.050], [0.699, 0.950, 0.366], [0.199, 0.366, 0.950], [0.301, 0.050, 0.634], [0.461, 0.507, 0.302], [0.039, 0.698, 0.493], [0.539, 0.493, 0.698], [0.961, 0.302, 0.507]]
}

[14]
{
  "formula": "LiSm6Mg5",
  "functional": "PBE-GGA",
  "state": "relaxed",
  "delta_e_f_ev_per_fu": -0.79,
  "sg": "Cmmm, No. 65",
  "lattice_angstrom": [[5.142, -0.031, 1.714], [0.041, 7.708, 0.014], [0.003, -0.015, 8.564]],
  "species": ["Mg", "Mg", "Mg", "Mg", "Mg", "Sm", "Sm", "Sm", "Sm", "Sm", "Sm", "Li"],
  "fractional_positions": [[0.668, 0.500, 0.665], [0.331, 0.000, 0.338], [0.000, 0.500, 0.000], [0.669, 0.000, 0.662], [0.332, 0.500, 0.335], [0.834, 0.749, 0.332], [0.834, 0.251, 0.332], [0.500, 0.251, 0.000], [0.500, 0.749, 0.000], [0.166, 0.749, 0.668], [0.166, 0.251, 0.668], [0.000, 0.000, 0.000]]
}

[15]
{
  "formula": "ThPaRe2",
  "functional": "PBE-GGA",
  "state": "relaxed",
  "de_polymorph_ev_per_atom": 0.0213,
  "delta_e_f_ev_per_fu": 0.69,
  "sg": "P4/mmm, No. 123",
  "lattice_angstrom": [[3.522, 0.000, 0.000], [0.000, 4.981, 0.000], [0.000, 0.000, 4.981]],
  "species": ["Re", "Re", "Pa", "Th"],
  "fractional_positions": [[0.000, 0.000, 0.500], [0.000, 0.500, 0.000], [0.500, 0.500, 0.500], [0.500, 0.000, 0.000]]
}

[16]
{
  "formula": "NbAl3Ga",
  "functional": "PBE-GGA",
  "state": "relaxed",
  "de_polymorph_ev_per_atom": 0.0000,
  "delta_e_f_ev_per_fu": -0.29,
  "sg": "P2_1/m, No. 11",
  "lattice_angstrom": [[-2.389, -2.366, 1.242], [2.531, -1.972, -4.036], [6.811, -3.689, 6.075]],
  "species": ["Nb", "Nb", "Al", "Al", "Al", "Al", "Al", "Al", "Ga", "Ga"],
  "fractional_positions": [[0.000, 0.000, 0.000], [0.000, 0.000, 0.500], [0.715, 0.429, 0.411], [0.285, 0.571, 0.589], [0.285, 0.571, 0.911], [0.715, 0.429, 0.089], [0.406, 0.806, 0.250], [0.594, 0.194, 0.750], [0.111, 0.218, 0.250], [0.889, 0.782, 0.750]]
}

[17]
{
  "formula": "SrIr2W",
  "functional": "PBE-GGA",
  "state": "relaxed",
  "de_polymorph_ev_per_atom": 0.5184,
  "delta_e_f_ev_per_fu": 2.19,
  "sg": "P4mm, No. 99",
  "lattice_angstrom": [[-0.340, 2.876, -0.094], [-2.872, -0.345, -0.177], [-0.574, 0.224, 8.894]],
  "species": ["Ir", "Ir", "Sr", "W"],
  "fractional_positions": [[0.000, 0.000, 0.999], [0.500, 0.500, 0.215], [0.000, 0.000, 0.479], [0.500, 0.500, 0.807]]
}

[18]
{
  "formula": "V3GeSe",
  "functional": "PBE-GGA",
  "state": "relaxed",
  "de_polymorph_ev_per_atom": 0.0000,
  "sg": "Pm-3m, No. 221",
  "lattice_angstrom": [[4.467, 0.000, 0.000], [0.000, 4.467, 0.000], [0.000, 0.000, 4.467]],
  "species": ["Ge", "Se", "V", "V", "V"],
  "fractional_positions": [[0.500, 0.500, 0.500], [0.000, 0.000, 0.000], [0.000, 0.500, 0.000], [0.000, 0.000, 0.500], [0.500, 0.000, 0.000]]
}

[19]
{
  "formula": "La6PC2I3",
  "functional": "PBE-GGA",
  "state": "relaxed",
  "dft_energy_ev_per_atom": -5.81,
  "sg": "C2/m, No. 12",
  "lattice_angstrom": [[7.047, -0.002, -0.001], [-3.523, 6.103, -0.001], [-1.176, -2.037, 7.997]],
  "species": ["La", "La", "La", "La", "La", "La", "P", "C", "C", "I", "I", "I"],
  "fractional_positions": [[0.940, 0.584, 0.821], [0.703, 0.703, 0.178], [0.060, 0.416, 0.179], [0.584, 0.940, 0.821], [0.297, 0.297, 0.822], [0.416, 0.060, 0.179], [0.000, 0.000, 0.000], [0.333, 0.667, 0.000], [0.667, 0.333, 0.000], [0.163, 0.837, 0.500], [0.837, 0.163, 0.500], [0.500, 0.500, 0.500]]
}

[20]
{
  "formula": "ReH2NO2",
  "functional": "PBE-GGA",
  "state": "relaxed",
  "dft_energy_ev_per_atom": -5.94,
  "sg": "I4_1/a, No. 88",
  "lattice_angstrom": [[3.378, -6.806, -3.010], [3.053, -4.864, 5.815], [-7.197, 3.717, -1.083]],
  "species": ["Re", "Re", "Re", "Re", "H", "H", "H", "H", "H", "H", "H", "H", "N", "N", "N", "N", "O", "O", "O", "O", "O", "O", "O", "O"],
  "fractional_positions": [[0.375, 0.125, 0.250], [0.875, 0.125, 0.750], [0.875, 0.125, 0.250], [0.875, 0.625, 0.750], [0.741, 0.715, 0.219], [0.496, 0.522, 0.781], [0.465, 0.746, 0.474], [0.009, 0.535, 0.281], [0.272, 0.991, 0.526], [0.254, 0.728, 0.719], [0.285, 0.504, 0.026], [0.478, 0.259, 0.974], [0.875, 0.625, 0.250], [0.375, 0.625, 0.750], [0.375, 0.625, 0.250], [0.375, 0.125, 0.750], [0.135, 0.307, 0.186], [0.120, 0.949, 0.814], [0.057, 0.370, 0.672], [0.615, 0.943, 0.314], [0.699, 0.385, 0.328], [0.630, 0.301, 0.686], [0.693, 0.880, 0.828], [0.051, 0.865, 0.172]]
}

[21]
{
  "formula": "BeC",
  "functional": "PBE-GGA",
  "state": "relaxed",
  "de_polymorph_ev_per_atom": 0.1694,
  "delta_e_f_ev_per_fu": 0.98,
  "sg": "Fddd, No. 70",
  "lattice_angstrom": [[-0.853, -7.860, 1.123], [-0.184, -1.447, -10.266], [3.307, -0.360, -0.008]],
  "species": ["Be", "Be", "Be", "Be", "Be", "Be", "Be", "Be", "Be", "Be", "Be", "Be", "Be", "Be", "Be", "Be", "C", "C", "C", "C", "C", "C", "C", "C", "C", "C", "C", "C", "C", "C", "C", "C"],
  "fractional_positions": [[0.000, 0.163, 0.000], [0.000, 0.837, 0.000], [0.250, 0.587, 0.250], [0.250, 0.913, 0.250], [0.000, 0.663, 0.500], [0.000, 0.337, 0.500], [0.250, 0.087, 0.750], [0.250, 0.413, 0.750], [0.500, 0.163, 0.500], [0.500, 0.837, 0.500], [0.750, 0.587, 0.750], [0.750, 0.913, 0.750], [0.500, 0.663, 0.000], [0.500, 0.337, 0.000], [0.750, 0.087, 0.250], [0.750, 0.413, 0.250], [0.913, 0.000, 0.000], [0.087, 0.000, 0.000], [0.337, 0.750, 0.250], [0.163, 0.750, 0.250], [0.913, 0.500, 0.500], [0.087, 0.500, 0.500], [0.337, 0.250, 0.750], [0.163, 0.250, 0.750], [0.413, 0.000, 0.500], [0.587, 0.000, 0.500], [0.837, 0.750, 0.750], [0.663, 0.750, 0.750], [0.413, 0.500, 0.000], [0.587, 0.500, 0.000], [0.837, 0.250, 0.250], [0.663, 0.250, 0.250]]
}

[22]
{
  "formula": "SrSi3Rh4",
  "functional": "PBE-GGA",
  "state": "relaxed",
  "dft_energy_ev_per_atom": -6.77,
  "sg": "P4/mmm, No. 123",
  "lattice_angstrom": [[4.081, 0.000, 0.000], [0.000, 4.081, 0.000], [0.000, 0.000, 8.063]],
  "species": ["Sr", "Si", "Si", "Si", "Rh", "Rh", "Rh", "Rh"],
  "fractional_positions": [[0.000, 0.000, 0.500], [0.000, 0.000, 0.000], [0.500, 0.500, 0.323], [0.500, 0.500, 0.677], [0.500, 0.000, 0.176], [0.000, 0.500, 0.176], [0.500, 0.000, 0.824], [0.000, 0.500, 0.824]]
}

no.,ρ (g/cm3),DOS(E_F) (states/eV per cell)
1,8.29,5.15
2,5.76,4.48
3,7.98,3.01
4,8.21,21.65
5,4.91,13.29
6,5.66,3.40
7,8.69,1.94
8,4.02,4.57
9,10.12,12.47
10,16.39,3.98
11,6.40,10.88
12,5.34,3.84
13,11.62,11.27
14,5.04,12.40
15,15.88,2.75
16,4.74,6.16
17,14.55,6.34
18,5.67,6.64
19,6.13,4.54
20,5.59,13.24
21,2.03,4.02
22,7.22,3.76